The following is a DFT calculation (PBEsol) of a relaxed AlFePt2 crystal.

Cell: 3.9009 3.9009 4.5521 Å, 115.37 115.37 90.00°
Closest atoms and distances in Å follow each position.
Fractional positions:
Fe1 0.0000 0.0000 0.0000  8 Pt 2.66, 4 Al 2.76
Pt1 0.2500 0.7500 0.5000  4 Fe 2.66, 4 Al 2.66, 4 Pt 2.76
Pt2 0.7500 0.2500 0.5000  4 Fe 2.66, 4 Al 2.66, 4 Pt 2.76
Al1 0.5000 0.5000 0.0000  8 Pt 2.66, 4 Fe 2.76

Summary:
ρ	14.3	g/cm³
E_form	-590	meV per atom
total moment	3.3	μB/f.u.